No. 1
# PrZn | the Open Quantum Materials Database | GGA-PBE | optimized geometry
data_PrZn
_cell_length_a 5.7981
_cell_length_b 5.4114
_cell_length_c 8.6310
_cell_angle_alpha 90.00
_cell_angle_beta 109.58
_cell_angle_gamma 90.00
_space_group_name_H-M_alt 'P 1'
_space_group_IT_number 1
loop_
_space_group_symop_operation_xyz
'x,y,z'
loop_
_atom_site_label
_atom_site_fract_x
_atom_site_fract_y
_atom_site_fract_z
_atom_site_occupancy
Pr1 0.0000 0.0000 0.0000 1
Pr2 0.0292 0.5000 0.7599 1
Pr3 0.3635 0.5000 0.5307 1
Pr4 0.5923 0.5000 0.9888 1
Pr5 0.7603 0.0000 0.5199 1
Zn1 0.1672 0.0000 0.3714 1
Zn2 0.2082 0.5000 0.1569 1
Zn3 0.3686 0.0000 0.7600 1
Zn4 0.5551 0.0000 0.1484 1
Zn5 0.8116 0.5000 0.3627 1
# Symmetry: No. 6
# Total magnetic moment: 0.008 μB per formula unit
# Energy relative to the elements: -0.18 eV per formula unit
# Total energy: -31.11 eV per cell

***

No. 2
# PrZn | the Open Quantum Materials Database | GGA-PBE | optimized geometry
data_PrZn
_cell_length_a 3.5915
_cell_length_b 3.5915
_cell_length_c 4.8385
_cell_angle_alpha 90.00
_cell_angle_beta 90.00
_cell_angle_gamma 120.00
_space_group_name_H-M_alt 'P 1'
_space_group_IT_number 1
loop_
_space_group_symop_operation_xyz
'x,y,z'
loop_
_atom_site_label
_atom_site_fract_x
_atom_site_fract_y
_atom_site_fract_z
_atom_site_occupancy
Pr1 0.0000 0.0000 0.0000 1
Zn1 0.6667 0.3333 0.5000 1
# Symmetry: No. 187
# Total magnetic moment: 0.007 μB per formula unit
# Energy relative to the elements: -0.07 eV per formula unit
# Total energy: -6.11 eV per cell

***

No. 3
# PrZn | the Open Quantum Materials Database | GGA-PBE | optimized geometry
data_PrZn
_cell_length_a 5.1257
_cell_length_b 6.8755
_cell_length_c 11.3479
_cell_angle_alpha 90.00
_cell_angle_beta 90.00
_cell_angle_gamma 90.00
_space_group_name_H-M_alt 'P 1'
_space_group_IT_number 1
loop_
_space_group_symop_operation_xyz
'x,y,z'
loop_
_atom_site_label
_atom_site_fract_x
_atom_site_fract_y
_atom_site_fract_z
_atom_site_occupancy
Pr1 0.2500 0.0186 0.0901 1
Pr2 0.2500 0.2500 0.3766 1
Pr3 0.2500 0.2500 0.7756 1
Pr4 0.2500 0.4814 0.0901 1
Pr5 0.7500 0.5186 0.9099 1
Pr6 0.7500 0.7500 0.2244 1
Pr7 0.7500 0.7500 0.6234 1
Pr8 0.7500 0.9814 0.9099 1
Zn1 0.2500 0.5321 0.5800 1
Zn2 0.2500 0.7500 0.3810 1
Zn3 0.2500 0.7500 0.8079 1
Zn4 0.2500 0.9679 0.5800 1
Zn5 0.7500 0.0321 0.4200 1
Zn6 0.7500 0.2500 0.1921 1
Zn7 0.7500 0.2500 0.6190 1
Zn8 0.7500 0.4679 0.4200 1
# Symmetry: No. 59
# Total magnetic moment: 0.003 μB per formula unit
# Energy relative to the elements: -0.28 eV per formula unit
# Total energy: -50.57 eV per cell

***

No. 4
# PrZn | the Open Quantum Materials Database | GGA-PBE | optimized geometry
data_PrZn
_cell_length_a 6.7196
_cell_length_b 5.6786
_cell_length_c 5.6299
_cell_angle_alpha 90.00
_cell_angle_beta 90.00
_cell_angle_gamma 90.00
_space_group_name_H-M_alt 'P 1'
_space_group_IT_number 1
loop_
_space_group_symop_operation_xyz
'x,y,z'
loop_
_atom_site_label
_atom_site_fract_x
_atom_site_fract_y
_atom_site_fract_z
_atom_site_occupancy
Pr1 0.1747 0.0064 0.2500 1
Pr2 0.1747 0.4936 0.7500 1
Pr3 0.8253 0.5064 0.2500 1
Pr4 0.8253 0.9936 0.7500 1
Zn1 0.3695 0.5089 0.2500 1
Zn2 0.3695 0.9911 0.7500 1
Zn3 0.6305 0.0089 0.2500 1
Zn4 0.6305 0.4911 0.7500 1
# Symmetry: No. 57
# Total magnetic moment: 0.227 μB per formula unit
# Energy relative to the elements: -0.20 eV per formula unit
# Total energy: -24.94 eV per cell

***

No. 5
# PrZn | the Open Quantum Materials Database | GGA-PBE | optimized geometry
data_PrZn
_cell_length_a 4.3631
_cell_length_b 4.3631
_cell_length_c 4.3631
_cell_angle_alpha 60.00
_cell_angle_beta 60.00
_cell_angle_gamma 60.00
_space_group_name_H-M_alt 'P 1'
_space_group_IT_number 1
loop_
_space_group_symop_operation_xyz
'x,y,z'
loop_
_atom_site_label
_atom_site_fract_x
_atom_site_fract_y
_atom_site_fract_z
_atom_site_occupancy
Pr1 0.0000 0.0000 0.0000 1
Zn1 0.5000 0.5000 0.5000 1
# Symmetry: No. 225
# Total magnetic moment: 0.537 μB per formula unit
# Energy relative to the elements: 0.00 eV per formula unit
# Total energy: -6.04 eV per cell

***

No. 6
# PrZn | the Open Quantum Materials Database | GGA-PBE | optimized geometry
data_PrZn
_cell_length_a 4.7621
_cell_length_b 7.6078
_cell_length_c 5.4783
_cell_angle_alpha 90.00
_cell_angle_beta 90.00
_cell_angle_gamma 90.00
_space_group_name_H-M_alt 'P 1'
_space_group_IT_number 1
loop_
_space_group_symop_operation_xyz
'x,y,z'
loop_
_atom_site_label
_atom_site_fract_x
_atom_site_fract_y
_atom_site_fract_z
_atom_site_occupancy
Pr1 0.0000 0.0000 0.0000 1
Pr2 0.0000 0.2992 0.5366 1
Pr3 0.0000 0.7008 0.5366 1
Pr4 0.5000 0.0000 0.4759 1
Zn1 0.0000 0.5000 0.0365 1
Zn2 0.5000 0.2806 0.9528 1
Zn3 0.5000 0.5000 0.3174 1
Zn4 0.5000 0.7194 0.9528 1
# Symmetry: No. 25
# Total magnetic moment: 0.001 μB per formula unit
# Energy relative to the elements: -0.13 eV per formula unit
# Total energy: -24.69 eV per cell

***

No. 7
# Pr3Zn22 | the Open Quantum Materials Database | GGA-PBE | optimized geometry
data_Pr3Zn22
_cell_length_a 12.3271
_cell_length_b 12.3271
_cell_length_c 12.3271
_cell_angle_alpha 137.79
_cell_angle_beta 137.79
_cell_angle_gamma 61.22
_space_group_name_H-M_alt 'P 1'
_space_group_IT_number 1
loop_
_space_group_symop_operation_xyz
'x,y,z'
loop_
_atom_site_label
_atom_site_fract_x
_atom_site_fract_y
_atom_site_fract_z
_atom_site_occupancy
Pr1 0.1250 0.8750 0.2500 1
Pr2 0.2539 0.5039 0.7500 1
Pr3 0.4961 0.7461 0.7500 1
Pr4 0.5039 0.2539 0.2500 1
Pr5 0.7461 0.4961 0.2500 1
Pr6 0.8750 0.1250 0.7500 1
Zn1 0.0000 0.0000 0.0000 1
Zn2 0.0000 0.0000 0.5000 1
Zn3 0.0000 0.5000 0.0000 1
Zn4 0.0423 0.3192 0.2394 1
Zn5 0.0423 0.8029 0.7231 1
Zn6 0.1168 0.2196 0.6028 1
Zn7 0.1168 0.5140 0.8972 1
Zn8 0.1383 0.7367 0.4016 1
Zn9 0.1497 0.6234 0.5263 1
Zn10 0.1649 0.2633 0.9016 1
Zn11 0.1971 0.4202 0.2394 1
Zn12 0.1971 0.9577 0.7769 1
Zn13 0.2196 0.1168 0.1028 1
Zn14 0.2633 0.1649 0.4016 1
Zn15 0.2633 0.8617 0.0984 1
Zn16 0.3192 0.0423 0.7394 1
Zn17 0.3192 0.5798 0.2769 1
Zn18 0.3766 0.4029 0.5263 1
Zn19 0.3766 0.8503 0.9737 1
Zn20 0.4029 0.3766 0.0263 1
Zn21 0.4202 0.1971 0.7394 1
Zn22 0.4202 0.6808 0.2231 1
Zn23 0.4860 0.8832 0.6028 1
Zn24 0.5000 0.0000 0.5000 1
Zn25 0.5140 0.1168 0.3972 1
Zn26 0.5798 0.3192 0.7769 1
Zn27 0.5798 0.8029 0.2606 1
Zn28 0.5971 0.6234 0.9737 1
Zn29 0.6234 0.1497 0.0263 1
Zn30 0.6234 0.5971 0.4737 1
Zn31 0.6808 0.4202 0.7231 1
Zn32 0.6808 0.9577 0.2606 1
Zn33 0.7367 0.1383 0.9016 1
Zn34 0.7367 0.8351 0.5984 1
Zn35 0.7804 0.8832 0.8972 1
Zn36 0.8029 0.0423 0.2231 1
Zn37 0.8029 0.5798 0.7606 1
Zn38 0.8351 0.7367 0.0984 1
Zn39 0.8503 0.3766 0.4737 1
Zn40 0.8617 0.2633 0.5984 1
Zn41 0.8832 0.4860 0.1028 1
Zn42 0.8832 0.7804 0.3972 1
Zn43 0.9577 0.1971 0.2769 1
Zn44 0.9577 0.6808 0.7606 1
# Symmetry: No. 141
# Total magnetic moment: 0.013 μB per formula unit
# Energy relative to the elements: -6.97 eV per formula unit
# Total energy: -98.23 eV per cell

***

No. 8
# PrZn | the Open Quantum Materials Database | GGA-PBE | optimized geometry
data_PrZn
_cell_length_a 5.1607
_cell_length_b 12.8605
_cell_length_c 6.0705
_cell_angle_alpha 90.00
_cell_angle_beta 90.00
_cell_angle_gamma 90.00
_space_group_name_H-M_alt 'P 1'
_space_group_IT_number 1
loop_
_space_group_symop_operation_xyz
'x,y,z'
loop_
_atom_site_label
_atom_site_fract_x
_atom_site_fract_y
_atom_site_fract_z
_atom_site_occupancy
Pr1 0.2500 0.0755 0.1133 1
Pr2 0.2500 0.2500 0.6154 1
Pr3 0.2500 0.4245 0.1133 1
Pr4 0.2500 0.7500 0.8154 1
Pr5 0.7500 0.2500 0.1846 1
Pr6 0.7500 0.5755 0.8867 1
Pr7 0.7500 0.7500 0.3846 1
Pr8 0.7500 0.9245 0.8867 1
Zn1 0.2500 0.5129 0.6206 1
Zn2 0.2500 0.6419 0.2838 1
Zn3 0.2500 0.8581 0.2838 1
Zn4 0.2500 0.9871 0.6206 1
Zn5 0.7500 0.0129 0.3794 1
Zn6 0.7500 0.1419 0.7162 1
Zn7 0.7500 0.3581 0.7162 1
Zn8 0.7500 0.4871 0.3794 1
# Symmetry: No. 59
# Total magnetic moment: 0.004 μB per formula unit
# Energy relative to the elements: -0.37 eV per formula unit
# Total energy: -51.27 eV per cell

***

- Which value of total magnetic moment does entry 2 give?
  0.007 μB per formula unit

***

- Look up the energy relative to the elements of the fourth one.
  -0.20 eV per formula unit

***

What did the fifth record say?
# PrZn | the Open Quantum Materials Database | GGA-PBE | optimized geometry
data_PrZn
_cell_length_a 4.3631
_cell_length_b 4.3631
_cell_length_c 4.3631
_cell_angle_alpha 60.00
_cell_angle_beta 60.00
_cell_angle_gamma 60.00
_space_group_name_H-M_alt 'P 1'
_space_group_IT_number 1
loop_
_space_group_symop_operation_xyz
'x,y,z'
loop_
_atom_site_label
_atom_site_fract_x
_atom_site_fract_y
_atom_site_fract_z
_atom_site_occupancy
Pr1 0.0000 0.0000 0.0000 1
Zn1 0.5000 0.5000 0.5000 1
# Symmetry: No. 225
# Total magnetic moment: 0.537 μB per formula unit
# Energy relative to the elements: 0.00 eV per formula unit
# Total energy: -6.04 eV per cell

***

- The highest energy relative to the elements belongs to which entry?
  number 5